Here is an optimized crystal structure of NbCr2TcN from the Alexandria database. Energies are from PBE-GGA.

Lattice parameters (Å, degrees): 3.851 3.851 4.261 90.00 90.00 90.00
Fractional coordinates of all 5 atoms:
Cr 0.000 0.500 0.000
Cr 0.500 0.000 0.000
Nb 0.000 0.000 0.500
Tc 0.500 0.500 0.500
N 0.000 0.000 0.000

## Properties
Total magnetization (μB/atom): 0.3525
Formation energy from raw total energies (meV per atom): -224


Here is an optimized crystal structure of LaTa2Ti2 from the Alexandria database. Energies are from PBE-GGA.

Lattice parameters (Å, degrees): 8.341 8.341 3.063 90.00 90.00 90.00
Fractional coordinates of all 10 atoms:
La 0.000 0.000 0.000
La 0.500 0.500 0.000
Ti 0.357 0.857 0.000
Ti 0.857 0.643 0.000
Ti 0.643 0.143 0.000
Ti 0.143 0.357 0.000
Ta 0.135 0.635 0.500
Ta 0.635 0.865 0.500
Ta 0.865 0.365 0.500
Ta 0.365 0.135 0.500

## Properties
DFT formation energy (eV/atom): 0.33
Total magnetization (μB/atom): 0.0000


Here is an optimized crystal structure of Nd2DyZrAs4 from the Alexandria database. Energies are from PBE-GGA.

Lattice parameters (Å, degrees): 4.119 7.133 7.149 109.28 90.00 90.00
Fractional coordinates of all 8 atoms:
Nd 0.500 0.000 0.500
Nd 0.000 0.500 0.500
Dy 0.500 0.500 0.000
Zr 0.000 0.000 0.000
As 0.500 0.237 0.230
As 0.500 0.763 0.770
As 0.000 0.248 0.765
As 0.000 0.752 0.235

## Properties
DFT formation energy (eV/atom): -1.41
Total magnetization (μB/atom): 0.0000


Here is an optimized crystal structure of Pr4Al2Cd5 from the Alexandria database. Energies are from PBE-GGA.

Lattice parameters (Å, degrees): 3.788 7.843 10.085 94.73 90.00 90.00
Fractional coordinates of all 11 atoms:
Pr 0.500 0.734 0.560
Pr 0.500 0.168 0.875
Pr 0.500 0.266 0.440
Pr 0.500 0.832 0.125
Al 0.000 0.057 0.629
Al 0.000 0.943 0.371
Cd 0.000 0.568 0.299
Cd 0.000 0.189 0.162
Cd 0.000 0.500 0.000
Cd 0.000 0.811 0.838
Cd 0.000 0.432 0.701

## Properties
DFT formation energy (eV/atom): -0.29
Total magnetization (μB/atom): 0.0000